Computed, not measured: Nb2TcAuC after structural relaxation at the PBE level of DFT.

Properties
size of the total moment: 0.00 μB/f.u.
total energy: -43.70 eV for the cell shown
formation enthalpy at 0 K: -0.69 eV/f.u.

a = 4.313 Å, b = 4.313 Å, c = 4.086 Å
α = 90.00°, β = 90.00°, γ = 90.00°
Atoms (fractional coordinates):
Nb  0.000  0.500  0.000
Nb  0.500  0.000  0.000
Tc  0.000  0.000  0.500
Au  0.500  0.500  0.500
C  0.000  0.000  0.000